Entry 1:
A plane-wave DFT calculation with GGA-PBE was carried out for an optimized crystal structure of LaNb2Sb2.

POSCAR file:
```
LaNb2Sb2
1.0
-1.4546 -2.6317 2.7792
3.2583 0.7086 2.3763
-2.7426 4.5841 5.9215
Sb Nb La
2 2 1
direct
0.3844 0.3844 0.2312
0.6156 0.6156 0.7688
0.7500 0.2500 0.5000
0.2500 0.7500 0.5000
0.0000 0.0000 0.0000
```

## Properties
* E above lowest polymorph: 0 meV per atom
* total moment: 0.000 μB/f.u.
* E: -7.17 eV/atom
* formation energy (no corrections): -0.508 eV/atom

=====

Entry 2:
A plane-wave DFT calculation with GGA-PBE was carried out for an optimized crystal structure of TmTaGe.

POSCAR file:
```
TmTaGe
1.0
4.0825 0.0000 0.0000
2.0412 3.5355 0.0000
2.0412 1.1785 10.0411
Ge Tm Ta
2 2 2
direct
0.1024 0.1024 0.6927
0.8976 0.8976 0.3073
0.6174 0.6174 0.1479
0.3826 0.3826 0.8521
0.1945 0.1945 0.4165
0.8055 0.8055 0.5835
```

## Properties
* total moment: 0.000 μB/f.u.
* E: -7.10 eV/atom
* DFT formation energy: -0.115 eV/atom